Material: Tl2In2Ga
Method: DFT, PBE
State: relaxed

extended XYZ file:
```
5
Lattice="-2.043 3.001 -2.968 -3.330 -3.172 -0.915 -6.555 2.464 3.301" Properties=species:S:1:pos:R:3 pbc="T T T"
Tl -5.643 2.690 -0.804
Tl -6.286 -0.397 0.222
Ga 0.000 0.000 0.000
In -3.468 0.429 -0.883
In -8.461 1.864 0.301
```

## Properties
SG = I4/mmm (139)
raw total energy = -12.1 eV for the cell shown
DFT formation energy = 1.16 eV/f.u.
crystal system = tetragonal